Entry 1:
First-principles (PBE-GGA) data for a geometry-optimized Cs3LiP structure, as listed in Alexandria via LeMat-Bulk.

The space group is Pm-3m (No. 221) and the conventional cell measures 6.980, 6.980 and 6.980 Å, with angles of 90.00, 90.00 and 90.00 degrees. The inequivalent atoms are Cs at (0.000, 0.000, 0.500), Li at (0.500, 0.500, 0.500) and P at (0.000, 0.000, 0.000).

For the formation energy, the calculation gives 10.6 kJ per mole of atoms. The value obtained for the total magnetization is 1.051 μB per cell.



Entry 2:
First-principles (PBE-GGA) data for a geometry-optimized Co2Ir4Rh structure, as listed in Alexandria via LeMat-Bulk.

The space group is I4/mmm (No. 139) and the conventional cell measures 6.428, 6.428 and 4.767 Å, with angles of 90.00, 90.00 and 90.00 degrees. The inequivalent atoms are Co at (0.000, 0.500, 0.250), Ir at (0.199, 0.199, 0.000) and Rh at (0.000, 0.000, 0.500).

For the formation energy, the calculation gives 20.4 kJ per mole of atoms. The value obtained for the total magnetization is 4.731 μB per cell.



Entry 3:
First-principles (PBE-GGA) data for a geometry-optimized K2NbClF6 structure, as listed in Alexandria via LeMat-Bulk.

The space group is P-1 (No. 2) and the conventional cell measures 5.083, 6.949 and 6.978 Å, with angles of 71.90, 72.28 and 72.07 degrees. The inequivalent atoms are K at (0.135, 0.321, 0.322), Nb at (0.000, 0.000, 0.000), Cl at (0.500, 0.500, 0.500), F at (0.038, 0.949, 0.282), F at (0.039, 0.283, 0.948) and F at (0.404, 0.898, 0.900).

The value obtained for the total magnetization is 0.072 μB per cell. The formation energy from raw total energies comes out at -2832 meV/atom.



Entry 4:
First-principles (PBE-GGA) data for a geometry-optimized Er7Tm4Cd structure, as listed in Alexandria via LeMat-Bulk.

The space group is P-3m1 (No. 164) and the conventional cell measures 5.4844, 5.4844 and 13.7135 Å, with angles of 90.00, 90.00 and 120.00 degrees. The inequivalent atoms are Er at (0.0000, 0.0000, 0.0000), Er at (0.0000, 0.0000, 0.2684), Er at (0.3333, 0.6667, 0.1733), Er at (0.3333, 0.6667, 0.4247), Tm at (0.3333, 0.6667, 0.6846), Tm at (0.3333, 0.6667, 0.9274) and Cd at (0.0000, 0.0000, 0.5000).

For the formation energy, the calculation gives 5.9 kJ per mole of atoms. The value obtained for the total magnetization is 0.007 μB per cell.